Entry 1:
A relaxed structure of SbP2O2, computed with GGA-PBE.

```
data_SbP2O2
_chemical_formula_sum 'Sb1 P2 O2'
_cell_length_a 3.697
_cell_length_b 3.697
_cell_length_c 5.581
_cell_angle_alpha 90.00
_cell_angle_beta 90.00
_cell_angle_gamma 90.00
_space_group_name_H-M_alt 'P 1'
_space_group_IT_number 1
_space_group_name_Hall 'P 1'
loop_
_atom_site_label
_atom_site_type_symbol
_atom_site_fract_x
_atom_site_fract_y
_atom_site_fract_z
P1 P 0.000 0.500 0.000
Sb1 Sb 0.500 0.500 0.500
O1 O 0.000 0.000 0.000
O2 O 0.000 0.000 0.500
P2 P 0.500 0.000 0.000
```

total moment: 0.0 Bohr magnetons per cell
VASP energy: -4.673 eV per atom

---

Entry 2:
A relaxed structure of SbP2O7, computed with GGA-PBE.

```
data_SbP2O7
_chemical_formula_sum 'Sb4 P8 O28'
_cell_length_a 8.597
_cell_length_b 7.390
_cell_length_c 9.863
_cell_angle_alpha 69.79
_cell_angle_beta 90.00
_cell_angle_gamma 90.00
_space_group_name_H-M_alt 'P 1'
_space_group_IT_number 1
_space_group_name_Hall 'P 1'
loop_
_atom_site_label
_atom_site_type_symbol
_atom_site_fract_x
_atom_site_fract_y
_atom_site_fract_z
O1 O 0.144 0.207 0.592
O2 O 0.374 0.638 0.604
O3 O 0.339 0.894 0.053
O4 O 0.085 0.555 0.669
O5 O 0.684 0.330 0.094
O6 O 0.197 0.191 0.889
O7 O 0.161 0.894 0.553
P1 P 0.702 0.321 0.942
O8 O 0.316 0.670 0.906
O9 O 0.598 0.982 0.352
O10 O 0.415 0.555 0.169
P2 P 0.298 0.679 0.058
P3 P 0.202 0.679 0.558
P4 P 0.798 0.321 0.442
P5 P 0.261 0.082 0.548
O11 O 0.126 0.638 0.104
O12 O 0.915 0.445 0.331
O13 O 0.585 0.445 0.831
O14 O 0.644 0.793 0.908
Sb1 Sb 0.495 0.269 0.249
O15 O 0.661 0.106 0.947
O16 O 0.184 0.670 0.406
O17 O 0.303 0.191 0.389
P6 P 0.739 0.918 0.452
O18 O 0.816 0.330 0.594
P7 P 0.761 0.918 0.952
Sb2 Sb 0.505 0.731 0.751
O19 O 0.402 0.018 0.648
O20 O 0.856 0.793 0.408
O21 O 0.902 0.982 0.852
O22 O 0.874 0.362 0.896
O23 O 0.356 0.207 0.092
P8 P 0.239 0.082 0.048
O24 O 0.839 0.106 0.447
Sb3 Sb 0.995 0.731 0.251
O25 O 0.803 0.809 0.111
Sb4 Sb 0.005 0.269 0.749
O26 O 0.697 0.809 0.611
O27 O 0.098 0.018 0.148
O28 O 0.626 0.362 0.396
```

total moment: 0.0 Bohr magnetons per cell
VASP energy: -6.826 eV per atom

---

Entry 3:
A relaxed structure of SbP2O2, computed with GGA-PBE.

```
data_SbP2O2
_chemical_formula_sum 'Sb1 P2 O2'
_cell_length_a 5.093
_cell_length_b 5.093
_cell_length_c 3.862
_cell_angle_alpha 90.00
_cell_angle_beta 90.00
_cell_angle_gamma 90.00
_space_group_name_H-M_alt 'P 1'
_space_group_IT_number 1
_space_group_name_Hall 'P 1'
loop_
_atom_site_label
_atom_site_type_symbol
_atom_site_fract_x
_atom_site_fract_y
_atom_site_fract_z
P1 P 0.500 0.000 0.000
P2 P 0.000 0.500 0.000
O1 O 0.500 0.500 0.500
Sb1 Sb 0.000 0.000 0.000
O2 O 0.000 0.000 0.500
```

total moment: 0.0 Bohr magnetons per cell
VASP energy: -3.908 eV per atom

---

Entry 4:
A relaxed structure of Sb2PO6, computed with GGA-PBE.

```
data_Sb2PO6
_chemical_formula_sum 'Sb2 P1 O6'
_cell_length_a 6.366
_cell_length_b 5.387
_cell_length_c 5.387
_cell_angle_alpha 120.00
_cell_angle_beta 90.00
_cell_angle_gamma 90.00
_space_group_name_H-M_alt 'P 1'
_space_group_IT_number 1
_space_group_name_Hall 'P 1'
loop_
_atom_site_label
_atom_site_type_symbol
_atom_site_fract_x
_atom_site_fract_y
_atom_site_fract_z
P1 P 0.000 0.000 0.000
O1 O 0.158 0.854 0.146
O2 O 0.842 0.708 0.854
Sb1 Sb 0.704 0.333 0.667
O3 O 0.842 0.146 0.854
Sb2 Sb 0.296 0.667 0.333
O4 O 0.158 0.292 0.146
O5 O 0.158 0.854 0.708
O6 O 0.842 0.146 0.292
```

total moment: 1.0 Bohr magnetons per cell
VASP energy: -5.939 eV per atom

---

Entry 5:
A relaxed structure of Sb2PO, computed with GGA-PBE.

```
data_Sb2PO
_chemical_formula_sum 'Sb2 P1 O1'
_cell_length_a 4.645
_cell_length_b 4.645
_cell_length_c 4.645
_cell_angle_alpha 60.00
_cell_angle_beta 60.00
_cell_angle_gamma 60.00
_space_group_name_H-M_alt 'P 1'
_space_group_IT_number 1
_space_group_name_Hall 'P 1'
loop_
_atom_site_label
_atom_site_type_symbol
_atom_site_fract_x
_atom_site_fract_y
_atom_site_fract_z
Sb1 Sb 0.250 0.250 0.250
Sb2 Sb 0.750 0.750 0.750
O1 O 0.000 0.000 0.000
P1 P 0.500 0.500 0.500
```

total moment: 0.0 Bohr magnetons per cell
VASP energy: -4.493 eV per atom

---

Entry 6:
A relaxed structure of SbP2O7, computed with GGA-PBE.

```
data_SbP2O7
_chemical_formula_sum 'Sb2 P4 O14'
_cell_length_a 8.532
_cell_length_b 5.061
_cell_length_c 7.215
_cell_angle_alpha 72.23
_cell_angle_beta 90.00
_cell_angle_gamma 90.00
_space_group_name_H-M_alt 'P 1'
_space_group_IT_number 1
_space_group_name_Hall 'P 1'
loop_
_atom_site_label
_atom_site_type_symbol
_atom_site_fract_x
_atom_site_fract_y
_atom_site_fract_z
P1 P 0.363 0.391 0.488
P2 P 0.782 0.223 0.897
O1 O 0.138 0.605 0.084
O2 O 0.897 0.414 0.731
Sb1 Sb 0.549 0.783 0.727
O3 O 0.869 0.428 0.375
O4 O 0.638 0.395 0.916
O5 O 0.995 0.825 0.477
O6 O 0.239 0.036 0.162
O7 O 0.495 0.175 0.523
O8 O 0.739 0.964 0.838
O9 O 0.196 0.273 0.496
O10 O 0.884 0.130 0.080
O11 O 0.397 0.586 0.269
Sb2 Sb 0.049 0.217 0.273
O12 O 0.384 0.870 0.920
P3 P 0.863 0.609 0.512
O13 O 0.696 0.727 0.504
O14 O 0.369 0.572 0.625
P4 P 0.282 0.777 0.103
```

total moment: 0.0 Bohr magnetons per cell
VASP energy: -6.829 eV per atom

---

Entry 7:
A relaxed structure of SbP3O, computed with GGA-PBE.

```
data_SbP3O
_chemical_formula_sum 'Sb1 P3 O1'
_cell_length_a 4.314
_cell_length_b 4.314
_cell_length_c 4.314
_cell_angle_alpha 90.00
_cell_angle_beta 90.00
_cell_angle_gamma 90.00
_space_group_name_H-M_alt 'P 1'
_space_group_IT_number 1
_space_group_name_Hall 'P 1'
loop_
_atom_site_label
_atom_site_type_symbol
_atom_site_fract_x
_atom_site_fract_y
_atom_site_fract_z
P1 P 0.000 0.000 0.500
P2 P 0.500 0.000 0.000
P3 P 0.000 0.500 0.000
Sb1 Sb 0.500 0.500 0.500
O1 O 0.000 0.000 0.000
```

total moment: 0.0 Bohr magnetons per cell
VASP energy: -4.525 eV per atom

---

Entry 8:
A relaxed structure of SbP5O15, computed with GGA-PBE.

```
data_SbP5O15
_chemical_formula_sum 'Sb2 P10 O30'
_cell_length_a 13.795
_cell_length_b 5.302
_cell_length_c 8.407
_cell_angle_alpha 78.84
_cell_angle_beta 90.00
_cell_angle_gamma 90.00
_space_group_name_H-M_alt 'P 1'
_space_group_IT_number 1
_space_group_name_Hall 'P 1'
loop_
_atom_site_label
_atom_site_type_symbol
_atom_site_fract_x
_atom_site_fract_y
_atom_site_fract_z
O1 O 0.442 0.466 0.715
O2 O 0.058 0.466 0.715
P1 P 0.358 0.992 0.498
O3 O 0.750 0.476 0.796
O4 O 0.856 0.103 0.316
P2 P 0.580 0.319 0.179
O5 O 0.356 0.897 0.684
P3 P 0.420 0.681 0.821
P4 P 0.920 0.319 0.179
O6 O 0.610 0.728 0.550
O7 O 0.942 0.534 0.285
O8 O 0.161 0.550 0.934
O9 O 0.110 0.272 0.450
O10 O 0.644 0.103 0.316
O11 O 0.497 0.194 0.122
O12 O 0.661 0.450 0.066
O13 O 0.750 0.044 0.018
O14 O 0.144 0.897 0.684
O15 O 0.839 0.450 0.066
O16 O 0.081 0.815 0.413
O17 O 0.919 0.185 0.587
P5 P 0.750 0.325 0.963
O18 O 0.997 0.806 0.878
O19 O 0.558 0.534 0.285
O20 O 0.503 0.806 0.878
O21 O 0.890 0.728 0.550
O22 O 0.390 0.272 0.450
Sb1 Sb 0.000 0.500 0.500
O23 O 0.581 0.185 0.587
O24 O 0.003 0.194 0.122
O25 O 0.250 0.980 0.436
P6 P 0.858 0.008 0.502
P7 P 0.080 0.681 0.821
O26 O 0.250 0.956 0.982
P8 P 0.142 0.992 0.498
P9 P 0.642 0.008 0.502
O27 O 0.250 0.524 0.204
O28 O 0.339 0.550 0.934
O29 O 0.419 0.815 0.413
O30 O 0.750 0.020 0.564
P10 P 0.250 0.675 0.037
Sb2 Sb 0.500 0.500 0.500
```

total moment: 0.1 Bohr magnetons per cell
VASP energy: -6.836 eV per atom

---

Entry 9:
A relaxed structure of SbP2O2, computed with GGA-PBE.

```
data_SbP2O2
_chemical_formula_sum 'Sb1 P2 O2'
_cell_length_a 3.848
_cell_length_b 3.848
_cell_length_c 5.561
_cell_angle_alpha 90.00
_cell_angle_beta 90.00
_cell_angle_gamma 90.00
_space_group_name_H-M_alt 'P 1'
_space_group_IT_number 1
_space_group_name_Hall 'P 1'
loop_
_atom_site_label
_atom_site_type_symbol
_atom_site_fract_x
_atom_site_fract_y
_atom_site_fract_z
O1 O 0.000 0.500 0.000
O2 O 0.500 0.000 0.000
Sb1 Sb 0.000 0.000 0.000
P1 P 0.500 0.500 0.500
P2 P 0.000 0.000 0.500
```

total moment: 1.2 Bohr magnetons per cell
VASP energy: -5.025 eV per atom

---

Entry 10:
A relaxed structure of SbP2O6, computed with GGA-PBE.

```
data_SbP2O6
_chemical_formula_sum 'Sb2 P4 O12'
_cell_length_a 5.081
_cell_length_b 7.182
_cell_length_c 7.182
_cell_angle_alpha 78.32
_cell_angle_beta 89.63
_cell_angle_gamma 89.63
_space_group_name_H-M_alt 'P 1'
_space_group_IT_number 1
_space_group_name_Hall 'P 1'
loop_
_atom_site_label
_atom_site_type_symbol
_atom_site_fract_x
_atom_site_fract_y
_atom_site_fract_z
P1 P 0.254 0.611 0.784
O1 O 0.749 0.881 0.404
O2 O 0.508 0.638 0.644
O3 O 0.249 0.404 0.881
O4 O 0.992 0.356 0.362
O5 O 0.492 0.362 0.356
O6 O 0.751 0.909 0.754
P2 P 0.754 0.784 0.611
O7 O 0.749 0.246 0.091
O8 O 0.251 0.119 0.596
Sb1 Sb 0.750 0.913 0.087
P3 P 0.246 0.216 0.389
O9 O 0.249 0.091 0.246
O10 O 0.251 0.754 0.909
P4 P 0.746 0.389 0.216
O11 O 0.008 0.644 0.638
O12 O 0.751 0.596 0.119
Sb2 Sb 0.250 0.087 0.913
```

total moment: 0.0 Bohr magnetons per cell
VASP energy: -6.778 eV per atom

---

Entry 11:
A relaxed structure of SbP3O, computed with GGA-PBE.

```
data_SbP3O
_chemical_formula_sum 'Sb1 P3 O1'
_cell_length_a 5.033
_cell_length_b 5.033
_cell_length_c 5.033
_cell_angle_alpha 90.00
_cell_angle_beta 90.00
_cell_angle_gamma 90.00
_space_group_name_H-M_alt 'P 1'
_space_group_IT_number 1
_space_group_name_Hall 'P 1'
loop_
_atom_site_label
_atom_site_type_symbol
_atom_site_fract_x
_atom_site_fract_y
_atom_site_fract_z
P1 P 0.000 0.000 0.500
P2 P 0.500 0.000 0.000
O1 O 0.500 0.500 0.500
Sb1 Sb 0.000 0.000 0.000
P3 P 0.000 0.500 0.000
```

total moment: 0.0 Bohr magnetons per cell
VASP energy: -3.201 eV per atom

---

Entry 12:
A relaxed structure of SbP2O, computed with GGA-PBE.

```
data_SbP2O
_chemical_formula_sum 'Sb1 P2 O1'
_cell_length_a 4.437
_cell_length_b 4.437
_cell_length_c 4.437
_cell_angle_alpha 60.00
_cell_angle_beta 60.00
_cell_angle_gamma 60.00
_space_group_name_H-M_alt 'P 1'
_space_group_IT_number 1
_space_group_name_Hall 'P 1'
loop_
_atom_site_label
_atom_site_type_symbol
_atom_site_fract_x
_atom_site_fract_y
_atom_site_fract_z
P1 P 0.250 0.250 0.250
P2 P 0.750 0.750 0.750
Sb1 Sb 0.500 0.500 0.500
O1 O 0.000 0.000 0.000
```

total moment: 0.0 Bohr magnetons per cell
VASP energy: -4.340 eV per atom